# SrNiP2O7 (PBE+U, relaxed)
# E   -302.17 eV for the cell shown
# N(E_F)   0.000 states/eV per atom
# Calculated volume   13.011 Å³ per atom
data_SrNiP2O7
_chemical_formula_sum 'Sr4 Ni4 P8 O28'
_symmetry_space_group_name_H-M 'P 1 21/c 1'
_symmetry_Int_Tables_number 14
_symmetry_space_group_name_Hall '-P 2ybc'
_cell_length_a 5.336
_cell_length_b 8.358
_cell_length_c 13.861
_cell_angle_alpha 90.00
_cell_angle_beta 112.18
_cell_angle_gamma 90.00
loop_
_atom_site_label
_atom_site_type_symbol
_atom_site_fract_x
_atom_site_fract_y
_atom_site_fract_z
_atom_site_occupancy
Sr1 Sr 0.005 0.161 0.219 1
Ni1 Ni 0.298 0.648 0.612 1
P1 P 0.328 0.198 0.019 1
P2 P 0.416 0.036 0.666 1
O1 O 0.101 0.187 0.911 1
O2 O 0.195 0.061 0.709 1
O3 O 0.270 0.097 0.101 1
O4 O 0.317 0.116 0.552 1
O5 O 0.318 0.620 0.765 1
O6 O 0.385 0.667 0.478 1
O7 O 0.478 0.639 0.153 1